A relaxed structure of Ho6Ga2GeSe3. Source: the Alexandria database, functional PBE-GGA.

Values from the calculation:
total magnetic moment = 0.00 μB per formula unit
V = 289.6 Å³/f.u.
E_form (uncorrected) = -1.25 eV per atom

```
Ho6Ga2GeSe3
1.0
4.088 0.000 0.000
0.000 8.209 -0.476
-2.044 -3.155 8.812
Ho Ga Ge Se
6 2 1 3
direct
0.334 0.860 0.669 Ho
0.658 0.644 0.317 Ho
0.666 0.140 0.331 Ho
0.009 0.247 0.019 Ho
0.991 0.753 0.981 Ho
0.342 0.356 0.683 Ho
0.802 0.570 0.603 Ga
0.198 0.430 0.397 Ga
0.500 0.000 0.000 Ge
0.500 0.500 0.000 Se
0.837 0.114 0.674 Se
0.163 0.886 0.326 Se
```